Record 1
# ReHg | Alexandria | PBE | relaxed
# - energy (eV/atom) = -5.3004
# - M_tot (μB per atom) = 0.0000
# - density (g/cm3) = 17.41
# - formation energy (eV/atom) = 1.075
# - crystal system = hexagonal
data_ReHg
_chemical_formula_sum 'Re2 Hg2'
_symmetry_space_group_name_H-M 'P 1'
_symmetry_Int_Tables_number 1
_cell_length_a 2.838
_cell_length_b 2.838
_cell_length_c 10.577
_cell_angle_alpha 90.00
_cell_angle_beta 90.00
_cell_angle_gamma 120.00
loop_
_symmetry_equiv_pos_as_xyz
'x,y,z'
loop_
_atom_site_label
_atom_site_type_symbol
_atom_site_fract_x
_atom_site_fract_y
_atom_site_fract_z
_atom_site_occupancy
Re1 Re 0.333 0.667 0.000 1
Re2 Re 0.667 0.333 0.500 1
Hg1 Hg 0.333 0.667 0.262 1
Hg2 Hg 0.667 0.333 0.762 1

Record 2
# DyZn3Au3 | Alexandria | PBE | relaxed
# - energy (eV/atom) = -1.9623
# - M_tot (μB per atom) = 0.0000
# - density (g/cm3) = 6.93
# - formation energy (eV/atom) = 0.646
# - crystal system = cubic
data_DyZn3Au3
_chemical_formula_sum 'Dy2 Zn6 Au6'
_symmetry_space_group_name_H-M 'P 1'
_symmetry_Int_Tables_number 1
_cell_length_a 8.632
_cell_length_b 8.632
_cell_length_c 8.632
_cell_angle_alpha 60.00
_cell_angle_beta 60.00
_cell_angle_gamma 60.00
loop_
_symmetry_equiv_pos_as_xyz
'x,y,z'
loop_
_atom_site_label
_atom_site_type_symbol
_atom_site_fract_x
_atom_site_fract_y
_atom_site_fract_z
_atom_site_occupancy
Dy1 Dy 0.250 0.250 0.250 1
Dy2 Dy 0.750 0.750 0.750 1
Zn1 Zn 0.147 0.147 0.853 1
Zn2 Zn 0.147 0.853 0.147 1
Zn3 Zn 0.147 0.853 0.853 1
Zn4 Zn 0.853 0.147 0.147 1
Zn5 Zn 0.853 0.147 0.853 1
Zn6 Zn 0.853 0.853 0.147 1
Au1 Au 0.339 0.339 0.661 1
Au2 Au 0.339 0.661 0.339 1
Au3 Au 0.339 0.661 0.661 1
Au4 Au 0.661 0.339 0.339 1
Au5 Au 0.661 0.339 0.661 1
Au6 Au 0.661 0.661 0.339 1

Record 3
# CsPdBr3 | Alexandria | PBE | relaxed
# - energy (eV/atom) = -3.0558
# - M_tot (μB per atom) = 0.0000
# - density (g/cm3) = 4.07
# - crystal system = monoclinic
data_CsPdBr3
_chemical_formula_sum 'Cs2 Pd2 Br6'
_symmetry_space_group_name_H-M 'P 1'
_symmetry_Int_Tables_number 1
_cell_length_a 7.252
_cell_length_b 7.197
_cell_length_c 8.319
_cell_angle_alpha 90.00
_cell_angle_beta 115.78
_cell_angle_gamma 90.00
loop_
_symmetry_equiv_pos_as_xyz
'x,y,z'
loop_
_atom_site_label
_atom_site_type_symbol
_atom_site_fract_x
_atom_site_fract_y
_atom_site_fract_z
_atom_site_occupancy
Cs1 Cs 0.238 0.250 0.475 1
Cs2 Cs 0.762 0.750 0.525 1
Pd1 Pd 0.493 0.750 0.985 1
Pd2 Pd 0.507 0.250 0.015 1
Br1 Br 0.266 0.000 0.001 1
Br2 Br 0.266 0.500 0.001 1
Br3 Br 0.268 0.750 0.537 1
Br4 Br 0.732 0.250 0.463 1
Br5 Br 0.734 0.000 0.999 1
Br6 Br 0.734 0.500 0.999 1